TbNd3Tm2Bi6: relaxed, PBE.

```
data_TbNd3Tm2Bi6
_chemical_formula_sum 'Tb2 Nd6 Tm4 Bi12'
_cell_length_a 19.739
_cell_length_b 4.534
_cell_length_c 9.059
_cell_angle_alpha 90.00
_cell_angle_beta 103.10
_cell_angle_gamma 90.00
_space_group_name_H-M_alt 'C 1 2/m 1'
_space_group_IT_number 12
loop_
_space_group_symop_operation_xyz
'x,y,z'
'-x,-y,-z'
'-x,y,-z'
'x,-y,z'
'x+1/2,y+1/2,z'
'-x+1/2,-y+1/2,-z'
'-x+1/2,y+1/2,-z'
'x+1/2,-y+1/2,z'
loop_
_atom_site_label
_atom_site_type_symbol
_atom_site_fract_x
_atom_site_fract_y
_atom_site_fract_z
Tb1 Tb 0.000 0.000 0.000
Nd1 Nd 0.000 0.000 0.500
Nd2 Nd 0.166 0.500 0.833
Tm1 Tm 0.167 0.500 0.333
Bi1 Bi 0.003 0.500 0.246
Bi2 Bi 0.165 0.000 0.090
Bi3 Bi 0.169 0.000 0.576
```

## Properties
Formation enthalpy at 0 K = -879 meV per atom
Magnetization = 0.000 μB/cell
Crystal system = monoclinic